(1)
DFT (PBE) results for a relaxed structure of TlCuRe2.

```
4
Lattice="0.000 3.184 3.184 3.184 0.000 3.184 3.184 3.184 0.000" Properties=species:S:1:pos:R:3 pbc="T T T"
Tl 0.000 0.000 0.000
Cu 1.592 1.592 1.592
Re 3.184 3.184 3.184
Re 4.776 4.776 4.776
```

Properties
symmetry: No. 216
ΔH_f (0 K): 818 meV per atom



(2)
DFT (PBE) results for a relaxed structure of Dy2SbS6.

```
18
Lattice="6.491 0.000 0.000 0.000 7.064 0.000 -5.903 0.000 8.834" Properties=species:S:1:pos:R:3 pbc="T T T"
Dy -0.109 0.787 2.122
Dy -3.061 2.745 6.539
Dy 3.649 4.319 2.295
Dy 0.697 6.277 6.712
Sb 3.246 0.000 0.000
Sb 0.294 3.532 4.417
S -4.764 1.268 8.271
S -1.813 2.264 3.855
S -3.839 4.854 8.304
S -0.887 5.742 3.887
S -1.822 0.292 6.511
S 1.129 3.240 2.094
S -0.541 3.824 6.739
S 2.410 6.772 2.322
S 1.475 1.322 4.947
S 4.427 2.210 0.530
S 2.401 4.801 4.979
S 5.352 5.796 0.562
```

Properties
symmetry: No. 14
formation energy from raw total energies: -1.023 eV/atom



(3)
DFT (PBE) results for a relaxed structure of ScTi4O8.

```
13
Lattice="2.955 1.706 5.121 -2.955 1.706 5.121 0.000 -3.412 5.121" Properties=species:S:1:pos:R:3 pbc="T T T"
Sc 0.000 0.000 0.000
Ti -2.955 0.000 7.682
Ti -1.478 0.853 2.561
Ti 1.478 0.853 2.561
Ti 0.000 0.000 7.682
O -1.530 -0.883 8.831
O 0.000 0.000 3.544
O 0.000 -1.767 6.533
O -1.530 0.883 6.533
O 1.530 -0.883 8.831
O 0.000 1.767 8.831
O 0.000 0.000 11.819
O 1.530 0.883 6.533
```

Properties
symmetry: No. 166
formation energy from raw total energies: -2.961 eV/atom